Below is a relaxed structure of PuTiTcGe, with properties calculated at the PBE-GGA level.

Values from the calculation:
Total energy   -38.2 eV per cell
D(E_F)   5.0 states/eV/cell
Theoretical density   11.3 g cm⁻³
Energy of formation from the pure elements   -0.249 eV/atom

Unit cell a=4.575 b=4.575 c=4.575 alpha=60.00 beta=60.00 gamma=60.00
Fractional coordinates of all 4 atoms:
Ge 0.000 0.000 0.000
Ti 0.250 0.250 0.250
Pu 0.500 0.500 0.500
Tc 0.750 0.750 0.750